Record 1
A plane-wave DFT calculation with PBE was carried out for LiTe2OsI after structural relaxation.

Cell: 5.174 5.174 6.001 Å, 90.00 90.00 90.00°
Sites, in units of the cell vectors:
I1 0.000 0.000 0.500
Os1 0.000 0.000 0.000
Te1 0.500 0.000 0.000
Li1 0.500 0.500 0.500
Te2 0.000 0.500 0.000

## Properties
The value obtained for the energy above the most stable polymorph in this dataset is 0 meV per atom. The total energy comes out at -19.20 eV/f.u. As for the formation energy without anion corrections: 1.8 eV/f.u. The space-group type is No. 123. As for the magnetic moment: 0.000 μB/atom.

Record 2
A plane-wave DFT calculation with PBE was carried out for LiPI6 after structural relaxation.

Cell: 9.672 8.631 7.417 Å, 53.80 55.30 46.46°
Sites, in units of the cell vectors:
I1 0.060 0.366 0.713
P1 0.000 0.000 0.000
I2 0.940 0.634 0.287
I3 0.804 0.015 0.818
I4 0.372 0.748 0.727
I5 0.196 0.985 0.182
I6 0.628 0.252 0.273
Li1 0.500 0.500 0.500

## Properties
The total energy comes out at -17.82 eV/f.u. As for the formation energy without anion corrections: -1.2 eV/f.u. The space-group type is No. 2. As for the magnetic moment: 0.000 μB/atom.

Record 3
A plane-wave DFT calculation with PBE was carried out for LiP2I after structural relaxation.

Cell: 4.835 4.835 4.835 Å, 60.00 60.00 60.00°
Sites, in units of the cell vectors:
P1 0.250 0.250 0.250
P2 0.750 0.750 0.750
I1 0.500 0.500 0.500
Li1 0.000 0.000 0.000

## Properties
The value obtained for the energy above the most stable polymorph in this dataset is 888 meV per atom. The total energy comes out at -11.26 eV/f.u. As for the formation energy without anion corrections: 3.0 eV/f.u. The space-group type is No. 225. As for the magnetic moment: 0.000 μB/atom.

Record 4
A plane-wave DFT calculation with PBE was carried out for Li4P12I after structural relaxation.

Cell: 7.626 7.626 7.626 Å, 109.47 109.47 109.47°
Sites, in units of the cell vectors:
Li1 0.000 0.500 0.000
P1 0.878 0.624 0.502
P2 0.878 0.376 0.254
P3 0.624 0.746 0.122
Li2 0.500 0.000 0.000
P4 0.746 0.122 0.624
P5 0.254 0.878 0.376
Li3 0.500 0.500 0.500
P6 0.498 0.122 0.376
P7 0.624 0.502 0.878
I1 0.000 0.000 0.000
P8 0.376 0.498 0.122
P9 0.122 0.376 0.498
Li4 0.000 0.000 0.500
P10 0.502 0.878 0.624
P11 0.122 0.624 0.746
P12 0.376 0.254 0.878

## Properties
The total energy comes out at -75.03 eV/f.u. As for the formation energy without anion corrections: -0.9 eV/f.u. The space-group type is No. 204. As for the magnetic moment: 0.000 μB/atom.

Record 5
A plane-wave DFT calculation with PBE was carried out for LiP2I after structural relaxation.

Cell: 3.729 3.729 15.952 Å, 83.29 83.29 90.00°
Sites, in units of the cell vectors:
P1 0.875 0.793 0.750
P2 0.375 0.457 0.750
I1 0.000 0.000 0.000
Li1 0.500 0.500 0.000
P3 0.543 0.125 0.250
Li2 0.250 0.750 0.500
I2 0.750 0.250 0.500
P4 0.207 0.625 0.250

## Properties
The value obtained for the energy above the most stable polymorph in this dataset is 0 meV per atom. The total energy comes out at -14.81 eV/f.u. As for the formation energy without anion corrections: -0.5 eV/f.u. The space-group type is No. 122. As for the magnetic moment: 0.000 μB/atom.

Record 6
A plane-wave DFT calculation with PBE was carried out for Li3PI after structural relaxation.

Cell: 4.829 4.829 4.829 Å, 90.00 90.00 90.00°
Each line ends with the local moment (μB).
Sites, in units of the cell vectors:
Li1 0.500 0.000 0.000  0.01
Li2 0.000 0.000 0.500  0.00
Li3 0.000 0.500 0.000  0.01
P1 0.000 0.000 0.000  0.31
I1 0.500 0.500 0.500  0.16

## Properties
The value obtained for the energy above the most stable polymorph in this dataset is 0 meV per atom. The total energy comes out at -15.41 eV/f.u. As for the formation energy without anion corrections: -2.7 eV/f.u. The space-group type is No. 221. As for the magnetic moment: 0.200 μB/atom.